No. 1
Material: Pm6Si2Sn
Method: DFT, PBE
State: relaxed Values from VASP.

Summary:
Magnetization: 0.0 μB/f.u.
Formation energy from raw total energies: -0.571 eV per atom
Total energy: -5.39 eV per atom

```
&SYSTEM
  ibrav = 0, nat = 18, ntyp = 3
/
ATOMIC_SPECIES
Sn 118.71 Sn.upf
Si 28.09 Si.upf
Pm 145.00 Pm.upf
CELL_PARAMETERS angstrom
8.7455 -0.0215 -0.0798
-3.3334 8.0853 0.0798
-2.9684 -3.8558 7.2672
ATOMIC_POSITIONS angstrom
Sn -3.1509 2.1148 3.6735
Sn 0.0000 0.0000 0.0000
Si 2.1746 -1.4595 2.7055
Si 3.6025 -2.4178 4.4819
Si 1.9969 4.5078 0.8268
Si 0.4468 -0.2999 6.4404
Pm 6.0496 1.7878 0.1897
Pm 2.8679 0.4831 4.9168
Pm -0.1420 2.6930 5.9215
Pm -0.3112 0.2089 3.2363
Pm 4.9897 5.0969 1.3457
Pm 2.7549 3.9991 4.0309
Pm -0.4242 3.7248 2.3504
Pm 2.5857 1.5150 1.3457
Pm -2.5460 -0.8889 5.9215
Pm -3.6059 2.4201 7.0775
Pm 5.1376 -1.0402 2.2706
Pm -2.6940 5.2482 4.9966
```

No. 2
Material: Pm3Si3Sn
Method: DFT, PBE
State: relaxed Values from VASP.

Summary:
Magnetization: 0.0 μB/f.u.
Formation energy from raw total energies: -0.452 eV per atom
Total energy: -5.38 eV per atom

```
&SYSTEM
  ibrav = 0, nat = 14, ntyp = 3
/
ATOMIC_SPECIES
Pm 145.00 Pm.upf
Si 28.09 Si.upf
Sn 118.71 Sn.upf
CELL_PARAMETERS angstrom
5.8577 0.0000 0.0000
0.0000 8.7428 0.0000
0.0000 -4.3714 7.5715
ATOMIC_POSITIONS angstrom
Pm 4.3933 3.3399 4.6435
Pm 4.3933 6.7228 2.3572
Pm 1.4644 -2.3515 5.2143
Pm 1.4644 1.3200 7.0008
Pm 4.3933 3.0514 0.5707
Pm 1.4644 1.0314 2.9279
Si 4.3933 1.6251 7.0951
Si 1.4644 3.4108 4.9549
Si 1.4644 6.9571 2.1402
Si 1.4644 2.7463 0.4764
Si 4.3933 -2.5857 5.4313
Si 4.3933 0.9606 2.6165
Sn 1.4644 4.3714 2.5238
Sn 4.3933 0.0000 5.0476
```

No. 3
Material: Pm4Si3Sn
Method: DFT, PBE
State: relaxed Values from VASP.

Summary:
Magnetization: 0.0 μB/f.u.
Formation energy from raw total energies: -0.742 eV per atom
Total energy: -5.65 eV per atom

```
&SYSTEM
  ibrav = 0, nat = 8, ntyp = 3
/
ATOMIC_SPECIES
Pm 145.00 Pm.upf
Si 28.09 Si.upf
Sn 118.71 Sn.upf
CELL_PARAMETERS angstrom
-0.7762 -0.1359 -4.4272
-0.1441 -4.0292 0.1490
-10.9116 0.4604 1.8990
ATOMIC_POSITIONS angstrom
Pm -1.6139 0.0681 0.2809
Pm -4.4923 -1.9124 -1.4374
Pm -7.3435 0.2255 -1.0031
Pm -9.3968 -1.6211 1.6973
Si -4.6801 0.1975 0.8145
Si -10.3220 0.3512 -0.4848
Si -6.3382 -1.7502 1.1650
Sn -1.3002 -2.0471 -1.9929
```

No. 4
Material: Pm3SiSn2
Method: DFT, PBE
State: relaxed Values from VASP.

Summary:
Distance to the lowest polymorph of the same formula: 136 meV/atom
Magnetization: 0.0 μB/f.u.
Formation energy from raw total energies: -0.542 eV per atom
Total energy: -5.16 eV per atom

```
&SYSTEM
  ibrav = 0, nat = 12, ntyp = 3
/
ATOMIC_SPECIES
Sn 118.71 Sn.upf
Pm 145.00 Pm.upf
Si 28.09 Si.upf
CELL_PARAMETERS angstrom
-3.0396 -4.9793 2.1910
1.1344 -3.5130 -6.4098
7.8209 0.5388 3.2124
ATOMIC_POSITIONS angstrom
Sn 5.1648 -4.4806 -3.0388
Sn 4.5902 -2.7361 0.1714
Sn 1.3254 -5.2175 -1.1778
Sn 0.7509 -3.4730 2.0324
Pm 1.9932 -0.8631 0.8236
Pm 3.3485 -5.3451 1.3798
Pm 3.9225 -7.0905 -1.8299
Pm -0.6635 -5.1154 -3.7158
Pm 2.5672 -2.6085 -2.3862
Pm -1.2417 -3.3769 -0.5030
Si -2.1820 -7.6029 -2.6213
Si 0.2768 -0.8894 -1.5975
```

No. 5
Material: Pm3SiSn
Method: DFT, PBE
State: relaxed Values from VASP.

Summary:
Distance to the lowest polymorph of the same formula: 127 meV/atom
Magnetization: 0.0 μB/f.u.
Formation energy from raw total energies: -0.378 eV per atom
Total energy: -5.11 eV per atom

```
&SYSTEM
  ibrav = 0, nat = 5, ntyp = 3
/
ATOMIC_SPECIES
Pm 145.00 Pm.upf
Si 28.09 Si.upf
Sn 118.71 Sn.upf
CELL_PARAMETERS angstrom
-3.7509 -3.3644 2.1474
3.5744 -4.1427 -0.2470
1.7759 1.2322 5.0326
ATOMIC_POSITIONS angstrom
Pm 1.7872 -2.0714 -0.1235
Pm -1.8755 -1.6822 1.0737
Pm 0.8879 0.6161 2.5163
Si 0.0000 0.0000 0.0000
Sn 0.7997 -3.1374 3.4665
```

No. 6
Material: Pm4Si2Sn5
Method: DFT, PBE
State: relaxed Values from VASP.

Summary:
Magnetization: 0.0 μB/f.u.
Formation energy from raw total energies: -0.632 eV per atom
Total energy: -5.17 eV per atom

```
&SYSTEM
  ibrav = 0, nat = 11, ntyp = 3
/
ATOMIC_SPECIES
Pm 145.00 Pm.upf
Si 28.09 Si.upf
Sn 118.71 Sn.upf
CELL_PARAMETERS angstrom
4.3019 0.0000 0.0000
0.0000 7.5015 0.0066
0.0000 -0.7380 8.9514
ATOMIC_POSITIONS angstrom
Pm 2.1510 0.9783 7.6652
Pm 2.1510 1.4253 3.6433
Pm 2.1510 5.7851 1.2929
Pm 2.1510 5.3381 5.3147
Si 0.0000 0.1446 5.5547
Si 0.0000 6.6189 3.4034
Sn 0.0000 3.8922 3.0553
Sn 0.0000 0.9193 1.1912
Sn 0.0000 2.8712 5.9028
Sn 0.0000 3.7507 0.0033
Sn 0.0000 5.8442 7.7669
```

No. 7
Material: Pm5SiSn5
Method: DFT, PBE
State: relaxed Values from VASP.

Summary:
Magnetization: 0.0 μB/f.u.
Formation energy from raw total energies: -0.498 eV per atom
Total energy: -4.97 eV per atom

```
&SYSTEM
  ibrav = 0, nat = 11, ntyp = 3
/
ATOMIC_SPECIES
Pm 145.00 Pm.upf
Sn 118.71 Sn.upf
Si 28.09 Si.upf
CELL_PARAMETERS angstrom
-2.9056 0.3812 4.9130
2.8555 -8.8105 -0.9581
5.0767 3.4500 2.7348
ATOMIC_POSITIONS angstrom
Pm 4.9645 0.4464 2.9014
Pm 2.6567 -3.5372 5.1761
Pm 2.3700 -1.4421 1.5135
Pm -1.4528 0.1906 2.4565
Pm 0.0622 -5.4257 3.7882
Sn 4.9879 -2.7027 3.1596
Sn 2.0686 0.0135 4.5528
Sn 2.5384 1.7250 1.3674
Sn 0.0388 -2.2766 3.5300
Sn 2.9581 -4.9928 2.1368
Si 0.0000 0.0000 0.0000
```

No. 8
Material: Pm5Si3Sn
Method: DFT, PBE
State: relaxed Values from VASP.

Summary:
Magnetization: 0.0 μB/f.u.
Formation energy from raw total energies: -0.518 eV per atom
Total energy: -5.41 eV per atom

```
&SYSTEM
  ibrav = 0, nat = 18, ntyp = 3
/
ATOMIC_SPECIES
Pm 145.00 Pm.upf
Si 28.09 Si.upf
Sn 118.71 Sn.upf
CELL_PARAMETERS angstrom
6.4786 0.0000 0.0000
0.0000 9.1654 0.0000
0.0000 -4.5827 7.9346
ATOMIC_POSITIONS angstrom
Pm 0.0000 4.5827 2.6445
Pm 1.6197 1.2944 2.2400
Pm 0.0000 0.0000 5.2900
Pm 1.6197 -3.2883 5.6946
Pm 3.2393 0.0000 5.2900
Pm 1.6197 6.5782 0.0000
Pm 4.8590 3.2883 5.6946
Pm 4.8590 2.5872 0.0000
Pm 3.2393 4.5827 2.6445
Pm 4.8590 7.8710 2.2400
Si 1.6197 3.4816 0.0000
Si 4.8590 1.7400 3.0133
Si 1.6197 -1.7400 3.0133
Si 4.8590 5.6838 0.0000
Si 1.6197 2.8427 4.9213
Si 4.8590 6.3227 4.9213
Sn 3.2393 0.0000 0.0000
Sn 0.0000 0.0000 0.0000
```

No. 9
Material: Pm3Si2Sn
Method: DFT, PBE
State: relaxed Values from VASP.

Summary:
Magnetization: 0.0 μB/f.u.
Formation energy from raw total energies: -0.591 eV per atom
Total energy: -5.44 eV per atom

```
&SYSTEM
  ibrav = 0, nat = 12, ntyp = 3
/
ATOMIC_SPECIES
Si 28.09 Si.upf
Pm 145.00 Pm.upf
Sn 118.71 Sn.upf
CELL_PARAMETERS angstrom
-4.9012 4.6286 -3.7758
-5.4602 -3.3311 -4.3350
-7.2914 0.3339 2.5349
ATOMIC_POSITIONS angstrom
Si -11.5730 1.0695 -3.6555
Si -2.7466 0.2538 -0.8676
Si -14.9062 1.3775 -4.7083
Si -6.0798 0.5619 -1.9204
Pm -6.5102 2.0144 -4.6084
Pm -9.7018 -0.4804 -5.5574
Pm -7.9510 2.1118 -0.0185
Pm -7.6048 -2.0870 -2.3429
Pm -10.0480 3.7184 -3.2330
Pm -11.1426 -0.3830 -0.9675
Sn 0.0000 0.0000 0.0000
Sn -8.8264 0.8157 -2.7879
```

No. 10
Material: PmSiSn
Method: DFT, PBE
State: relaxed Values from VASP.

Summary:
Distance to the lowest polymorph of the same formula: 518 meV/atom
Magnetization: 0.0 μB/f.u.
Formation energy from raw total energies: -0.062 eV per atom
Total energy: -4.79 eV per atom

```
&SYSTEM
  ibrav = 0, nat = 12, ntyp = 3
/
ATOMIC_SPECIES
Sn 118.71 Sn.upf
Pm 145.00 Pm.upf
Si 28.09 Si.upf
CELL_PARAMETERS angstrom
7.6643 -0.6886 0.0000
-3.5458 6.8296 0.0000
-2.0593 -3.0705 6.4960
ATOMIC_POSITIONS angstrom
Sn -1.7729 3.4148 4.9530
Sn 2.0593 3.0705 4.7910
Sn 0.0000 0.0000 1.7050
Sn -1.7729 3.4148 1.5430
Pm -1.9161 0.1722 4.8720
Pm 1.9161 -0.1722 4.8720
Pm 2.9457 1.3631 1.6240
Pm 1.1728 4.7779 1.6240
Si -3.7221 4.7220 3.2480
Si 5.7152 0.6186 0.0000
Si 0.1763 2.1076 3.2480
Si -1.5966 5.5224 0.0000
```

No. 11
Material: Pm8SiSn3
Method: DFT, PBE
State: relaxed Values from VASP.

Summary:
Magnetization: 0.0 μB/f.u.
Formation energy from raw total energies: -0.431 eV per atom
Total energy: -5.05 eV per atom

```
&SYSTEM
  ibrav = 0, nat = 12, ntyp = 3
/
ATOMIC_SPECIES
Pm 145.00 Pm.upf
Sn 118.71 Sn.upf
Si 28.09 Si.upf
CELL_PARAMETERS angstrom
7.3494 0.0000 0.0000
0.0000 7.3494 0.0000
-3.6747 -3.6747 7.3631
ATOMIC_POSITIONS angstrom
Pm -1.8880 1.8880 5.5825
Pm 1.7867 1.7867 1.7807
Pm 1.8880 1.8880 5.5825
Pm 1.7867 5.5627 1.7807
Pm -1.8880 -1.8880 5.5825
Pm 5.5627 5.5627 1.7807
Pm 5.5627 1.7867 1.7807
Pm 1.8880 -1.8880 5.5825
Sn 0.0000 3.6747 3.6816
Sn 3.6747 3.6747 0.0000
Sn 3.6747 0.0000 3.6816
Si 0.0000 0.0000 0.0000
```

No. 12
Material: Pm12Si7Sn
Method: DFT, PBE
State: relaxed Values from VASP.

Summary:
Magnetization: 3.4 μB/f.u.
Formation energy from raw total energies: -0.344 eV per atom
Total energy: -5.29 eV per atom

```
&SYSTEM
  ibrav = 0, nat = 20, ntyp = 3
/
ATOMIC_SPECIES
Pm 145.00 Pm.upf
Si 28.09 Si.upf
Sn 118.71 Sn.upf
CELL_PARAMETERS angstrom
9.3918 0.0000 0.0000
-3.1306 8.8546 0.0000
-3.1306 -4.4273 7.6683
ATOMIC_POSITIONS angstrom
Pm -2.3857 -0.9265 6.2553
Pm 3.2088 -2.2690 6.7560
Pm -0.7449 2.9741 2.3253
Pm -0.0783 6.6963 0.9123
Pm 0.0783 2.5581 6.2553
Pm 0.7449 -0.5267 3.7383
Pm -3.2088 4.7164 5.3430
Pm 6.3394 -0.2891 2.3253
Pm 3.8755 1.4532 5.3430
Pm 2.3857 4.9541 3.9300
Pm 3.0523 1.8693 1.4130
Pm 5.5163 5.3538 1.4130
Si 1.5653 2.2137 3.8342
Si 3.1306 4.4273 0.0000
Si -1.5653 -2.2137 3.8342
Si 4.6959 0.0000 0.0000
Si 3.1306 -2.2137 3.8342
Si -3.1306 2.2137 3.8342
Si -1.5653 4.4273 0.0000
Sn 0.0000 0.0000 0.0000
```

Which formula does entry 2 have?
Pm3Si3Sn

Please write out number 11 again, unchanged.
Material: Pm8SiSn3
Method: DFT, PBE
State: relaxed Values from VASP.

Summary:
Magnetization: 0.0 μB/f.u.
Formation energy from raw total energies: -0.431 eV per atom
Total energy: -5.05 eV per atom

```
&SYSTEM
  ibrav = 0, nat = 12, ntyp = 3
/
ATOMIC_SPECIES
Pm 145.00 Pm.upf
Sn 118.71 Sn.upf
Si 28.09 Si.upf
CELL_PARAMETERS angstrom
7.3494 0.0000 0.0000
0.0000 7.3494 0.0000
-3.6747 -3.6747 7.3631
ATOMIC_POSITIONS angstrom
Pm -1.8880 1.8880 5.5825
Pm 1.7867 1.7867 1.7807
Pm 1.8880 1.8880 5.5825
Pm 1.7867 5.5627 1.7807
Pm -1.8880 -1.8880 5.5825
Pm 5.5627 5.5627 1.7807
Pm 5.5627 1.7867 1.7807
Pm 1.8880 -1.8880 5.5825
Sn 0.0000 3.6747 3.6816
Sn 3.6747 3.6747 0.0000
Sn 3.6747 0.0000 3.6816
Si 0.0000 0.0000 0.0000
```

Among the records above, which one has the highest total energy?
PmSiSn